A PBEsol-optimized structure of S. Source: Alexandria, functional SCAN.

Offset from the most stable computed form   1 meV/atom
Density of states at the Fermi level   0.00 states/eV/f.u.
Formation energy without anion corrections   0.001 eV/f.u.
Space group   P2_1

Cell lengths 10.7228, 10.5726, 11.0725 Å; angles 90.00, 96.61, 90.00 degrees
Last column: nearest neighbours and their distance in Å.
Atoms (fractional coordinates):
S: 0.0367 0.0000 0.4426  2 S 2.05-2.06
S: 0.0383 0.6652 0.8896  2 S 2.05
S: 0.0455 0.7267 0.0662  2 S 2.05
S: 0.0597 0.2102 0.6685  2 S 2.05-2.06
S: 0.0717 0.1861 0.4861  2 S 2.05
S: 0.1385 0.4347 0.2634  2 S 2.05
S: 0.1541 0.5108 0.8860  2 S 2.05
S: 0.1700 0.8735 0.0951  2 S 2.05-2.06
S: 0.2047 0.9051 0.4441  2 S 2.05-2.06
S: 0.2383 0.2086 0.7597  2 S 2.05-2.06
S: 0.2422 0.3303 0.1547  2 S 2.05
S: 0.2460 0.8174 0.6094  2 S 2.05
S: 0.2591 0.5443 0.3765  2 S 2.05
S: 0.2705 0.1530 0.2286  2 S 2.05
S: 0.2718 0.0310 0.8310  2 S 2.05
S: 0.2929 0.4550 0.5415  2 S 2.05-2.06
S: 0.3223 0.5714 0.8352  2 S 2.05-2.06
S: 0.3397 0.8053 0.1739  2 S 2.05-2.06
S: 0.3710 0.9275 0.7176  2 S 2.05
S: 0.4287 0.1747 0.5053  2 S 2.05
S: 0.4464 0.1484 0.3242  2 S 2.05
S: 0.4495 0.5928 0.9877  2 S 2.06
S: 0.4554 0.7794 0.0405  2 S 2.05-2.06
S: 0.4618 0.3611 0.5489  2 S 2.05-2.06
S: 0.5382 0.8611 0.4511  2 S 2.05-2.06
S: 0.5446 0.2794 0.9595  2 S 2.05-2.06
S: 0.5505 0.0928 0.0123  2 S 2.06
S: 0.5536 0.6484 0.6758  2 S 2.05
S: 0.5713 0.6747 0.4947  2 S 2.05
S: 0.6290 0.4275 0.2824  2 S 2.05
S: 0.6603 0.3053 0.8261  2 S 2.05-2.06
S: 0.6777 0.0714 0.1648  2 S 2.05-2.06
S: 0.7071 0.9550 0.4585  2 S 2.05-2.06
S: 0.7282 0.5310 0.1690  2 S 2.05
S: 0.7295 0.6530 0.7714  2 S 2.05
S: 0.7409 0.0443 0.6235  2 S 2.05
S: 0.7540 0.3174 0.3906  2 S 2.05
S: 0.7578 0.8303 0.8453  2 S 2.05
S: 0.7617 0.7086 0.2403  2 S 2.05-2.06
S: 0.7953 0.4051 0.5559  2 S 2.05-2.06
S: 0.8300 0.3735 0.9049  2 S 2.05-2.06
S: 0.8459 0.0108 0.1140  2 S 2.05
S: 0.8615 0.9347 0.7366  2 S 2.05
S: 0.9283 0.6861 0.5139  2 S 2.05
S: 0.9403 0.7102 0.3315  2 S 2.05-2.06
S: 0.9545 0.2267 0.9338  2 S 2.05
S: 0.9617 0.1652 0.1104  2 S 2.05
S: 0.9633 0.5000 0.5574  2 S 2.05-2.06